First-principles (PBE) data for a relaxed TbNdAlHg crystal, as listed in Alexandria.

* uncorrected energy: -15.0 eV/cell
* offset from the most stable computed form: 0.17 eV per formula unit
* symmetry: F-43m (216)
* spin magnetization: 0.00 μB/cell
* mass density: 8.33 g cm⁻³
* E_form: -0.387 eV/atom

a b c (Å): 5.310 5.310 5.310
angles (deg): 60.00 60.00 60.00
Atoms (fractional coordinates):
Nd1 0.000 0.000 0.000
Hg1 0.750 0.750 0.750
Tb1 0.500 0.500 0.500
Al1 0.250 0.250 0.250

---

First-principles (PBE) data for a relaxed As2F13 crystal, as listed in Alexandria.

* uncorrected energy: -57.5 eV/cell
* symmetry: P-1 (2)
* spin magnetization: 1.23 μB/cell
* uncorrected formation energy: -1.591 eV/atom
* mass density: 3.02 g cm⁻³

a b c (Å): 5.124 6.395 7.586
angles (deg): 116.33 91.10 99.88
Each line ends with the local moment (μB).
Atoms (fractional coordinates):
F1 0.680 0.722 0.486  0.03
As1 0.168 0.148 0.275  -0.01
F2 0.461 0.202 0.173  0.12
As2 0.832 0.852 0.725  -0.01
F3 0.320 0.278 0.514  0.03
F4 0.000 0.000 0.000  0.04
F5 0.087 0.409 0.288  0.09
F6 0.913 0.591 0.712  0.09
F7 0.779 0.138 0.783  0.10
F8 0.850 0.068 0.335  0.10
F9 0.602 0.568 0.078  0.10
F10 0.221 0.862 0.217  0.10
F11 0.150 0.932 0.665  0.10
F12 0.398 0.432 0.922  0.10
F13 0.539 0.798 0.827  0.12

---

First-principles (PBE) data for a relaxed NaLaTe2N crystal, as listed in Alexandria.

* uncorrected energy: -21.9 eV/cell
* offset from the most stable computed form: 0.00 eV per formula unit
* symmetry: P4/mmm (123)
* spin magnetization: 0.00 μB/cell
* uncorrected formation energy: -0.201 eV/atom
* mass density: 4.08 g cm⁻³

a b c (Å): 6.620 6.620 4.008
angles (deg): 90.00 90.00 90.00
Atoms (fractional coordinates):
Te1 0.500 0.000 0.000
Na1 0.500 0.500 0.500
N1 0.000 0.000 0.500
La1 0.000 0.000 0.000
Te2 0.000 0.500 0.000